Compound: OsAu2
Source: Alexandria
Functional: GGA-PBE
Structure: optimized geometry

a = 13.8117 Å, b = 13.8117 Å, c = 13.8117 Å
α = 168.61°, β = 168.61°, γ = 16.13°
Fractional positions:
1 Os 0.3750 0.6250 0.7500
2 Os 0.6250 0.3750 0.2500
3 Au 0.0467 0.7967 0.2500
4 Au 0.2033 0.9533 0.2500
5 Au 0.7967 0.0467 0.7500
6 Au 0.9533 0.2033 0.7500

Its energy relative to the lowest polymorph listed for this composition is 196 meV per atom. As for the total magnetic moment: 0.00 μB/cell. Its space-group type is I4_1/amd. For the total energy, the calculation gives -5.31 eV per atom. As for the formation energy: 0.62 eV per atom.



Compound: Os2Au
Source: Alexandria
Functional: GGA-PBE
Structure: optimized geometry

a = 5.1078 Å, b = 5.1078 Å, c = 5.1078 Å
α = 105.17°, β = 105.17°, γ = 118.47°
Fractional positions:
1 Os 0.1302 0.6302 0.7604
2 Os 0.3698 0.1302 0.5000
3 Os 0.6302 0.8698 0.5000
4 Os 0.8698 0.3698 0.2396
5 Au 0.2500 0.2500 0.0000
6 Au 0.7500 0.7500 0.0000

Its energy relative to the lowest polymorph listed for this composition is 843 meV per atom. As for the total magnetic moment: 0.00 μB/cell. Its space-group type is I4/mcm. For the total energy, the calculation gives -7.40 eV per atom. As for the formation energy: 1.18 eV per atom.



Compound: OsAu3
Source: Alexandria
Functional: GGA-PBE
Structure: optimized geometry

a = 5.1152 Å, b = 5.1152 Å, c = 2.7442 Å
α = 90.00°, β = 90.00°, γ = 108.88°
Fractional positions:
1 Os 0.0000 0.0000 0.0000
2 Au 0.0000 0.5000 0.5000
3 Au 0.5000 0.0000 0.5000
4 Au 0.5000 0.5000 0.0000

Its energy relative to the lowest polymorph listed for this composition is 128 meV per atom. As for the total magnetic moment: 0.00 μB/cell. Its space-group type is Cmmm. For the total energy, the calculation gives -4.76 eV per atom. As for the formation energy: 0.50 eV per atom.



Compound: Os3Au
Source: Alexandria
Functional: GGA-PBE
Structure: optimized geometry

a = 4.8511 Å, b = 4.8511 Å, c = 4.8511 Å
α = 132.91°, β = 132.91°, γ = 68.79°
Fractional positions:
1 Os 0.0000 0.0000 0.0000
2 Os 0.2500 0.7500 0.5000
3 Os 0.7500 0.2500 0.5000
4 Au 0.5000 0.5000 0.0000

Its energy relative to the lowest polymorph listed for this composition is 299 meV per atom. As for the total magnetic moment: 0.00 μB/cell. Its space-group type is I4/mmm. For the total energy, the calculation gives -8.62 eV per atom. As for the formation energy: 0.62 eV per atom.



Compound: Os3Au
Source: Alexandria
Functional: GGA-PBE
Structure: optimized geometry

a = 4.9919 Å, b = 4.9919 Å, c = 4.9919 Å
α = 90.00°, β = 90.00°, γ = 90.00°
Fractional positions:
1 Os 0.0000 0.2500 0.5000
2 Os 0.0000 0.7500 0.5000
3 Os 0.2500 0.5000 0.0000
4 Os 0.5000 0.0000 0.2500
5 Os 0.5000 0.0000 0.7500
6 Os 0.7500 0.5000 0.0000
7 Au 0.0000 0.0000 0.0000
8 Au 0.5000 0.5000 0.5000

Its energy relative to the lowest polymorph listed for this composition is 676 meV per atom. As for the total magnetic moment: 0.00 μB/cell. Its space-group type is Pm-3n. For the total energy, the calculation gives -8.25 eV per atom. As for the formation energy: 1.00 eV per atom.



Compound: Os3Au
Source: Alexandria
Functional: GGA-PBE
Structure: optimized geometry

a = 4.4454 Å, b = 4.4454 Å, c = 4.4454 Å
α = 60.00°, β = 60.00°, γ = 60.00°
Fractional positions:
1 Os 0.0000 0.0000 0.0000
2 Os 0.2500 0.2500 0.2500
3 Os 0.7500 0.7500 0.7500
4 Au 0.5000 0.5000 0.5000

Its energy relative to the lowest polymorph listed for this composition is 655 meV per atom. As for the total magnetic moment: 1.93 μB/cell. Its space-group type is Fm-3m. For the total energy, the calculation gives -8.27 eV per atom. As for the formation energy: 0.97 eV per atom.



Compound: Os3Au
Source: Alexandria
Functional: GGA-PBE
Structure: optimized geometry

a = 5.2741 Å, b = 5.2741 Å, c = 5.2741 Å
α = 149.18°, β = 63.63°, γ = 125.83°
Fractional positions:
1 Os 0.0000 0.0000 0.0000
2 Os 0.3934 0.6532 0.7402
3 Os 0.9130 0.6532 0.2598
4 Au 0.5047 0.0047 0.5000

Its energy relative to the lowest polymorph listed for this composition is 208 meV per atom. As for the total magnetic moment: 0.00 μB/cell. Its space-group type is Imm2. For the total energy, the calculation gives -8.71 eV per atom. As for the formation energy: 0.53 eV per atom.



Compound: Os3Au
Source: Alexandria
Functional: GGA-PBE
Structure: optimized geometry

a = 9.3468 Å, b = 9.3468 Å, c = 9.3468 Å
α = 16.99°, β = 16.99°, γ = 16.99°
Fractional positions:
1 Os 0.0000 0.0000 0.0000
2 Os 0.2557 0.2557 0.2557
3 Os 0.7443 0.7443 0.7443
4 Au 0.5000 0.5000 0.5000

Its energy relative to the lowest polymorph listed for this composition is 0 meV per atom. As for the total magnetic moment: 0.00 μB/cell. Its space-group type is R-3m. For the total energy, the calculation gives -8.92 eV per atom. As for the formation energy: 0.32 eV per atom.



Compound: Os2Au
Source: Alexandria
Functional: GGA-PBE
Structure: optimized geometry

a = 8.6539 Å, b = 8.6539 Å, c = 8.6539 Å
α = 156.11°, β = 156.11°, γ = 34.04°
Fractional positions:
1 Os 0.2985 0.5485 0.7500
2 Os 0.4515 0.7015 0.7500
3 Os 0.5485 0.2985 0.2500
4 Os 0.7015 0.4515 0.2500
5 Au 0.1250 0.8750 0.2500
6 Au 0.8750 0.1250 0.7500

Its energy relative to the lowest polymorph listed for this composition is 759 meV per atom. As for the total magnetic moment: 0.00 μB/cell. Its space-group type is I4_1/amd. For the total energy, the calculation gives -7.48 eV per atom. As for the formation energy: 1.10 eV per atom.



Compound: Os3Au
Source: Alexandria
Functional: GGA-PBE
Structure: optimized geometry

a = 5.0031 Å, b = 5.0031 Å, c = 5.0031 Å
α = 90.00°, β = 90.00°, γ = 90.00°
Fractional positions:
1 Os 0.0000 0.0000 0.5000
2 Os 0.0000 0.5000 0.0000
3 Os 0.5000 0.0000 0.0000
4 Au 0.0000 0.0000 0.0000

Its energy relative to the lowest polymorph listed for this composition is 3677 meV per atom. As for the total magnetic moment: 8.29 μB/cell. Its space-group type is Pm-3m. For the total energy, the calculation gives -5.25 eV per atom. As for the formation energy: 4.00 eV per atom.



Compound: OsAu3
Source: Alexandria
Functional: GGA-PBE
Structure: optimized geometry

a = 2.8199 Å, b = 2.8199 Å, c = 8.5483 Å
α = 90.00°, β = 90.00°, γ = 90.00°
Fractional positions:
1 Os 0.0000 0.0000 0.0000
2 Au 0.0000 0.0000 0.5000
3 Au 0.5000 0.5000 0.2372
4 Au 0.5000 0.5000 0.7628

Its energy relative to the lowest polymorph listed for this composition is 86 meV per atom. As for the total magnetic moment: 0.00 μB/cell. Its space-group type is P4/mmm. For the total energy, the calculation gives -4.81 eV per atom. As for the formation energy: 0.46 eV per atom.



Compound: Os2Au
Source: Alexandria
Functional: GGA-PBE
Structure: optimized geometry

a = 4.3733 Å, b = 4.3733 Å, c = 5.9028 Å
α = 90.00°, β = 90.00°, γ = 120.00°
Fractional positions:
1 Os 0.3333 0.6667 0.0355
2 Os 0.3333 0.6667 0.4645
3 Os 0.6667 0.3333 0.5355
4 Os 0.6667 0.3333 0.9645
5 Au 0.0000 0.0000 0.2500
6 Au 0.0000 0.0000 0.7500

Its energy relative to the lowest polymorph listed for this composition is 337 meV per atom. As for the total magnetic moment: 0.00 μB/cell. Its space-group type is P6_3/mmc. For the total energy, the calculation gives -7.91 eV per atom. As for the formation energy: 0.67 eV per atom.



Compound: OsAu3
Source: Alexandria
Functional: GGA-PBE
Structure: optimized geometry

a = 8.4303 Å, b = 8.4303 Å, c = 8.4303 Å
α = 151.49°, β = 151.49°, γ = 40.76°
Fractional positions:
1 Os 0.1243 0.1243 0.0000
2 Os 0.8757 0.8757 0.0000
3 Au 0.0000 0.5000 0.5000
4 Au 0.2500 0.7500 0.5000
5 Au 0.3739 0.3739 0.0000
6 Au 0.5000 0.0000 0.5000
7 Au 0.6261 0.6261 0.0000
8 Au 0.7500 0.2500 0.5000

Its energy relative to the lowest polymorph listed for this composition is 285 meV per atom. As for the total magnetic moment: 0.99 μB/cell. Its space-group type is I4/mmm. For the total energy, the calculation gives -4.61 eV per atom. As for the formation energy: 0.66 eV per atom.



Compound: OsAu5
Source: Alexandria
Functional: GGA-PBE
Structure: optimized geometry

a = 5.7556 Å, b = 5.7556 Å, c = 6.9233 Å
α = 105.43°, β = 105.43°, γ = 28.21°
Fractional positions:
1 Os 0.0000 0.0000 0.0000
2 Au 0.2864 0.2864 0.0557
3 Au 0.3326 0.3326 0.6694
4 Au 0.6074 0.6074 0.7343
5 Au 0.6622 0.6622 0.3237
6 Au 0.9457 0.9457 0.3898

Its energy relative to the lowest polymorph listed for this composition is 0 meV per atom. As for the total magnetic moment: 0.00 μB/cell. Its space-group type is Cm. For the total energy, the calculation gives -4.26 eV per atom. As for the formation energy: 0.34 eV per atom.